The following is a DFT calculation (PBE-GGA) of a relaxed structure of NaIn2.

Properties
DOS(E_F) = 0.3119 states/eV per atom
symmetry = P6/mmm
calculated density = 5.24 g/cm3
ΔE_f = -0.1172 eV/atom

Cell lengths 5.1584, 5.1584, 3.4763 Å; angles 90.00, 90.00, 120.00 degrees
With the nearest neighbours (Å) after each atom.
Sites, in units of the cell vectors:
Na 0.0000 0.0000 0.5000  12 In 3.45, 2 Na 3.48
In 0.6667 0.3333 0.0000  3 In 2.98
In 0.3333 0.6667 0.0000  3 In 2.98